The following is a DFT calculation (GGA-PBE) of a relaxed structure of TbHo3Sc2.

Unit cell a=3.3762 b=9.8445 c=11.3787 alpha=107.69 beta=98.53 gamma=90.00
Fractional positions:
Ho (0.0687, 0.7716, 0.1375)
Sc (0.9288, 0.8611, 0.8575)
Ho (0.5596, 0.4340, 0.1191)
Ho (0.3029, 0.2919, 0.6058)
Tb (0.3152, 0.9559, 0.6303)
Tb (0.6848, 0.0441, 0.3697)
Sc (0.6918, 0.3732, 0.3837)
Sc (0.3082, 0.6268, 0.6163)
Ho (0.6971, 0.7081, 0.3942)
Ho (0.9313, 0.2284, 0.8625)
Ho (0.4404, 0.5660, 0.8809)
Sc (0.0712, 0.1389, 0.1425)

Output
Crystal system: monoclinic
Size of the total moment (μB per formula unit): 0.00
Calculated formation energy (eV per atom): 0.149

=====

The following is a DFT calculation (GGA-PBE) of a relaxed structure of Tb8Ho2Sc3.

Unit cell a=6.5588 b=8.7511 c=8.5194 alpha=120.90 beta=97.55 gamma=90.00
Fractional positions:
Tb (0.5712, 0.5725, 0.7790)
Tb (0.4288, 0.4275, 0.2210)
Ho (0.7099, 0.8008, 0.6016)
Tb (0.5712, 0.2066, 0.7790)
Tb (0.2007, 0.8076, 0.6152)
Tb (0.1127, 0.4119, 0.8237)
Tb (0.4288, 0.7934, 0.2210)
Tb (0.7993, 0.1924, 0.3848)
Ho (0.2901, 0.1992, 0.3984)
Sc (0.0000, 0.1634, 0.0000)
Tb (0.8873, 0.5881, 0.1763)
Sc (0.5000, 0.0000, 0.0000)
Sc (0.0000, 0.8366, 0.0000)

Output
Crystal system: monoclinic
Size of the total moment (μB per formula unit): 0.00
Calculated formation energy (eV per atom): 0.253

=====

The following is a DFT calculation (GGA-PBE) of a relaxed structure of Tb3Ho5Sc4.

Unit cell a=5.6780 b=8.3381 c=9.3875 alpha=107.49 beta=72.40 gamma=70.09
Each line ends with the local moment (μB).
Fractional positions:
Ho (0.2157, 0.4593, 0.1093)  0.01
Sc (0.8628, 0.2182, 0.0561)  0.01
Ho (0.5000, 0.5000, 0.5000)  0.15
Sc (0.1624, 0.0475, 0.6276)  0.01
Tb (0.0000, 0.5000, 0.5000)  0.15
Ho (0.6260, 0.9496, 0.7984)  0.01
Sc (0.1372, 0.7818, 0.9439)  0.01
Tb (0.4874, 0.3073, 0.7179)  0.01
Ho (0.3740, 0.0504, 0.2016)  0.01
Tb (0.5126, 0.6927, 0.2821)  0.01
Ho (0.7843, 0.5407, 0.8907)  0.01
Sc (0.8376, 0.9525, 0.3724)  0.01

Output
Crystal system: monoclinic
Size of the total moment (μB per formula unit): 0.41
Calculated formation energy (eV per atom): 0.300

=====

The following is a DFT calculation (GGA-PBE) of a relaxed structure of Tb2HoSc6.

Unit cell a=3.2758 b=9.7707 c=9.7707 alpha=56.17 beta=70.30 gamma=70.30
Fractional positions:
Tb (0.3333, 0.3333, 0.3333)
Sc (0.1679, 0.3328, 0.0000)
Tb (0.6666, 0.6667, 0.6667)
Sc (0.8319, 0.0000, 0.6673)
Sc (0.5002, 0.3328, 0.6672)
Sc (0.5002, 0.6672, 0.3328)
Sc (0.8319, 0.6673, 0.0000)
Ho (0.0000, 0.0000, 0.0000)
Sc (0.1679, 0.0000, 0.3328)

Output
Crystal system: monoclinic
Size of the total moment (μB per formula unit): 0.00
Calculated formation energy (eV per atom): 0.065

=====

The following is a DFT calculation (GGA-PBE) of a relaxed structure of Tb7Ho2Sc2.

Unit cell a=9.5795 b=10.9807 c=12.2806 alpha=135.58 beta=58.76 gamma=80.32
Fractional positions:
Tb (0.3521, 0.0213, 0.8201)
Ho (0.0671, 0.1532, 0.5197)
Tb (0.2919, 0.3913, 0.3048)
Sc (0.2007, 0.8022, 0.9019)
Sc (0.7993, 0.1978, 0.0981)
Tb (0.6479, 0.9787, 0.1799)
Tb (0.4258, 0.6838, 0.3297)
Tb (0.5742, 0.3162, 0.6703)
Tb (0.0000, 0.5000, 0.0000)
Ho (0.9329, 0.8468, 0.4803)
Tb (0.7081, 0.6087, 0.6952)

Output
Crystal system: triclinic
Size of the total moment (μB per formula unit): 0.00
Calculated formation energy (eV per atom): 0.035

=====

The following is a DFT calculation (GGA-PBE) of a relaxed structure of Tb2HoSc.

Unit cell a=4.8902 b=4.9290 c=4.9290 alpha=90.00 beta=90.00 gamma=90.00
Fractional positions:
Sc (0.5000, 0.0000, 0.0000)
Tb (0.0000, 0.5000, 0.0000)
Tb (0.0000, 0.0000, 0.5000)
Ho (0.5000, 0.5000, 0.5000)

Output
Crystal system: tetragonal
Size of the total moment (μB per formula unit): 0.00
Calculated formation energy (eV per atom): 0.040

=====

The following is a DFT calculation (GGA-PBE) of a relaxed structure of Tb6HoSc.

Unit cell a=4.9838 b=4.9838 c=9.9268 alpha=90.00 beta=90.00 gamma=90.00
Fractional positions:
Sc (0.0000, 0.0000, 0.5000)
Tb (0.0000, 0.5000, 0.2547)
Tb (0.5000, 0.5000, 0.0000)
Tb (0.0000, 0.5000, 0.7453)
Ho (0.0000, 0.0000, 0.0000)
Tb (0.5000, 0.0000, 0.2547)
Tb (0.5000, 0.5000, 0.5000)
Tb (0.5000, 0.0000, 0.7453)

Output
Crystal system: tetragonal
Size of the total moment (μB per formula unit): 0.00
Calculated formation energy (eV per atom): 0.031

=====

The following is a DFT calculation (GGA-PBE) of a relaxed structure of TbHo7Sc12.

Unit cell a=8.2607 b=8.2607 c=8.2607 alpha=87.72 beta=87.72 gamma=87.72
Fractional positions:
Ho (0.0547, 0.1611, 0.3925)
Ho (0.9453, 0.8389, 0.6075)
Sc (0.4941, 0.6246, 0.1326)
Sc (0.7220, 0.2735, 0.1485)
Sc (0.5059, 0.3754, 0.8674)
Sc (0.2735, 0.1485, 0.7220)
Ho (0.6075, 0.9453, 0.8389)
Ho (0.8389, 0.6075, 0.9453)
Sc (0.8674, 0.5059, 0.3754)
Ho (0.1611, 0.3925, 0.0547)
Sc (0.7265, 0.8515, 0.2780)
Sc (0.6246, 0.1326, 0.4941)
Sc (0.3754, 0.8674, 0.5059)
Tb (0.0000, 0.0000, 0.0000)
Sc (0.2780, 0.7265, 0.8515)
Ho (0.3925, 0.0547, 0.1611)
Ho (0.5000, 0.5000, 0.5000)
Sc (0.1485, 0.7220, 0.2735)
Sc (0.8515, 0.2780, 0.7265)
Sc (0.1326, 0.4941, 0.6246)

Output
Crystal system: trigonal
Size of the total moment (μB per formula unit): 0.01
Calculated formation energy (eV per atom): 0.223

=====

The following is a DFT calculation (GGA-PBE) of a relaxed structure of Tb2HoSc2.

Unit cell a=8.9402 b=8.9402 c=5.5494 alpha=108.08 beta=108.08 gamma=121.00
Fractional positions:
Sc (0.6316, 0.3684, 0.7500)
Ho (0.1429, 0.8571, 0.2500)
Sc (0.2537, 0.7463, 0.7500)
Ho (0.8571, 0.1429, 0.7500)
Sc (0.3684, 0.6316, 0.2500)
Tb (0.1887, 0.3131, 0.5008)
Sc (0.7463, 0.2537, 0.2500)
Tb (0.8113, 0.6869, 0.4992)
Tb (0.6869, 0.8113, 0.9992)
Tb (0.3131, 0.1887, 0.0008)

Output
Crystal system: orthorhombic
Size of the total moment (μB per formula unit): 0.03
Calculated formation energy (eV per atom): 0.146

=====

The following is a DFT calculation (GGA-PBE) of a relaxed structure of TbHo9Sc2.

Unit cell a=4.9315 b=4.9315 c=14.7617 alpha=90.00 beta=90.00 gamma=90.00
Fractional positions:
Ho (0.5000, 0.0000, 0.8288)
Ho (0.0000, 0.5000, 0.5000)
Ho (0.0000, 0.5000, 0.1712)
Ho (0.5000, 0.5000, 0.0000)
Ho (0.5000, 0.0000, 0.1712)
Tb (0.0000, 0.0000, 0.0000)
Ho (0.5000, 0.0000, 0.5000)
Sc (0.0000, 0.0000, 0.6647)
Ho (0.0000, 0.5000, 0.8288)
Sc (0.0000, 0.0000, 0.3353)
Ho (0.5000, 0.5000, 0.3361)
Ho (0.5000, 0.5000, 0.6639)

Output
Crystal system: tetragonal
Size of the total moment (μB per formula unit): 0.00
Calculated formation energy (eV per atom): 0.037

=====

The following is a DFT calculation (GGA-PBE) of a relaxed structure of Tb6HoSc4.

Unit cell a=6.7194 b=6.7194 c=8.7460 alpha=112.59 beta=112.59 gamma=90.00
Fractional positions:
Tb (0.8879, 0.4857, 0.3736)
Tb (0.5000, 0.0000, 0.0000)
Tb (0.1121, 0.1121, 0.6264)
Sc (0.9408, 0.9408, 0.1918)
Ho (0.5000, 0.5000, 0.0000)
Tb (0.5143, 0.5143, 0.6264)
Sc (0.0592, 0.7490, 0.8082)
Sc (0.2510, 0.2510, 0.1918)
Sc (0.7490, 0.0592, 0.8082)
Tb (0.4857, 0.8879, 0.3736)
Tb (0.0000, 0.5000, 0.0000)

Output
Crystal system: tetragonal
Size of the total moment (μB per formula unit): 0.00
Calculated formation energy (eV per atom): 0.327

=====

The following is a DFT calculation (GGA-PBE) of a relaxed structure of Tb7HoSc2.

Unit cell a=5.5349 b=8.7546 c=8.7546 alpha=119.61 beta=90.00 gamma=90.00
Fractional positions:
Tb (0.5000, 0.3015, 0.0619)
Tb (0.5000, 0.6985, 0.9381)
Ho (0.0000, 0.0000, 0.0000)
Tb (0.5000, 0.5000, 0.5000)
Sc (0.5000, 0.2948, 0.7052)
Tb (0.0000, 0.2411, 0.7589)
Tb (0.0000, 0.7589, 0.2411)
Tb (0.5000, 0.9381, 0.6985)
Tb (0.5000, 0.0619, 0.3015)
Sc (0.5000, 0.7052, 0.2948)

Output
Crystal system: orthorhombic
Size of the total moment (μB per formula unit): 0.00
Calculated formation energy (eV per atom): 0.649